# 1
# AcIn2Rh

Crystalline AcIn2Rh at its relaxed geometry (GGA-PBE, Alexandria via LeMat-Bulk).

Output
The relative energy among the computed polymorphs comes out at 186 meV/atom. The volume is 321.2 Å³/cell. The energy of formation from the pure elements comes out at -40.1 kJ/mol of atoms. For the electronic total energy, the calculation gives -4.650 eV per atom.

Structure (CIF):
```
data_AcIn2Rh
_cell_length_a 4.5978
_cell_length_b 4.5978
_cell_length_c 17.5438
_cell_angle_alpha 90.00
_cell_angle_beta 90.00
_cell_angle_gamma 120.00
_space_group_name_H-M_alt 'R -3 m'
_space_group_IT_number 166
_space_group_name_Hall '-R 3 2"'
loop_
_atom_site_label
_atom_site_fract_x
_atom_site_fract_y
_atom_site_fract_z
Ac1 0.0000 0.0000 0.0000
In1 0.0000 0.0000 0.2117
Rh1 0.0000 0.0000 0.5000
```


# 2
# Li4PmEr3S8

Crystalline Li4PmEr3S8 at its relaxed geometry (GGA-PBE, Alexandria via LeMat-Bulk).

Output
The volume is 984.2 Å³/cell. The formation energy (no corrections) is -1839 meV/atom. For the electronic total energy, the calculation gives -5.534 eV per atom.

Structure (CIF):
```
data_Li4PmEr3S8
_cell_length_a 7.8324
_cell_length_b 7.8324
_cell_length_c 18.5256
_cell_angle_alpha 90.00
_cell_angle_beta 90.00
_cell_angle_gamma 120.00
_space_group_name_H-M_alt 'R -3 m'
_space_group_IT_number 166
_space_group_name_Hall '-R 3 2"'
loop_
_atom_site_label
_atom_site_fract_x
_atom_site_fract_y
_atom_site_fract_z
Li1 0.0000 0.0000 0.0000
Li2 0.0000 0.5000 0.0000
Pm1 0.0000 0.0000 0.5000
Er1 0.0000 0.5000 0.5000
S1 0.0000 0.0000 0.2493
S2 0.0079 0.5040 0.7495
```


Question: electronic total energy of number 2 (Li4PmEr3S8)?
Answer: -5.534 eV per atom


Question: What is the electronic total energy in the second record?
Answer: -5.534 eV per atom


Question: The lowest electronic total energy belongs to which entry?
Answer: Li4PmEr3S8